[1]
CePmTl4 | Alexandria | PBE | optimized geometry; space group = C2/m (12); excess energy over the best structure of this formula in the dataset = 71 meV per atom; formation enthalpy at 0 K = -0.017 eV/atom
1.0
4.6506 0.5873 0.3320
1.7312 4.3561 0.3320
1.4311 1.1084 10.5038
Tl Ce Pm
4 1 1
direct
0.3943 0.3943 0.8252
0.6057 0.6057 0.1748
0.8931 0.8932 0.3284
0.1069 0.1068 0.6716
0.0000 0.0000 0.0000
0.5000 0.5000 0.5000


[2]
CePm2Tl5 | Alexandria | PBE | optimized geometry; space group = I4mm (107); formation enthalpy at 0 K = -0.255 eV/atom
1.0
-3.4076 4.5920 3.5800
-3.8113 -4.9999 -2.4474
4.5196 -2.8000 4.1530
Pm Tl Ce
2 5 1
direct
0.2778 0.7780 0.5002
0.7776 0.2778 0.4998
0.2778 0.2775 0.0000
0.7780 0.2781 0.0000
0.7776 0.7778 0.4997
0.2780 0.7774 0.0000
0.2780 0.2782 0.5004
0.7784 0.7782 0.0000